DFT (PBE) results for Nb5CoMo4 after structural relaxation.

Values from the calculation:
Raw total energy   -101.8 eV for the cell shown
Total magnetic moment   0.57 Bohr magnetons per cell

Structure (CIF):
```
data_Nb5CoMo4
_chemical_formula_sum 'Nb5 Co1 Mo4'
_space_group_name_H-M_alt 'P 4/m m m'
_space_group_IT_number 123
_space_group_name_Hall '-P 4 2'
_cell_length_a 3.225
_cell_length_b 3.225
_cell_length_c 15.866
_cell_angle_alpha 90.00
_cell_angle_beta 90.00
_cell_angle_gamma 90.00
loop_
_atom_site_label
_atom_site_type_symbol
_atom_site_fract_x
_atom_site_fract_y
_atom_site_fract_z
Nb1 Nb 0.000 0.000 0.000
Nb2 Nb 0.000 0.000 0.205
Nb3 Nb 0.000 0.000 0.406
Co1 Co 0.500 0.500 0.500
Mo1 Mo 0.500 0.500 0.102
Mo2 Mo 0.500 0.500 0.307
```